First-principles (GGA-PBE) data for crystalline Ho3In5Ni2 at its relaxed geometry, as listed in Alexandria via LeMat-Bulk.

Geometry as CIF:
```
data_Ho3In5Ni2
_chemical_formula_sum 'Ho6 In10 Ni4'
_cell_length_a 10.016
_cell_length_b 10.016
_cell_length_c 4.354
_cell_angle_alpha 90.00
_cell_angle_beta 90.00
_cell_angle_gamma 90.00
_space_group_name_H-M_alt 'P 4/m b m'
_space_group_IT_number 127
_space_group_name_Hall '-P 4 2ab'
loop_
_atom_site_label
_atom_site_type_symbol
_atom_site_fract_x
_atom_site_fract_y
_atom_site_fract_z
_atom_site_occupancy
Ho1 Ho 0.000 0.000 0.000 1
Ho2 Ho 0.171 0.329 0.000 1
In1 In 0.000 0.500 0.500 1
In2 In 0.068 0.786 0.500 1
Ni1 Ni 0.127 0.627 0.000 1
```

Summary:
For the formation energy, the calculation gives -4.16 eV/f.u.